# La3Ho4Mg PBE optimized geometry
# - E: -0.1559 Ha/atom
# - Calculated formation energy: 0.0928 eV/atom
# - Total moment: 0.000 μB/f.u.
data_La3Ho4Mg
_chemical_formula_sum 'La6 Ho8 Mg2'
_cell_length_a 3.5581
_cell_length_b 11.7783
_cell_length_c 12.7272
_cell_angle_alpha 90.00
_cell_angle_beta 90.00
_cell_angle_gamma 90.00
_symmetry_space_group_name_H-M 'I m m m'
_symmetry_Int_Tables_number 71
_symmetry_space_group_name_Hall '-I 2 2'
loop_
_atom_site_label
_atom_site_type_symbol
_atom_site_fract_x
_atom_site_fract_y
_atom_site_fract_z
_atom_site_occupancy
La1 La 0.0000 0.0000 0.0000 1
La2 La 0.0000 0.5000 0.2361 1
Ho1 Ho 0.0000 0.2446 0.3661 1
Mg1 Mg 0.0000 0.0000 0.5000 1


# La2HoMg PBE optimized geometry
# - ΔE to the lowest computed polymorph: 81 meV per atom
# - E: -0.1456 Ha/atom
# - Calculated formation energy: 0.0445 eV/atom
# - Total moment: 0.000 μB/f.u.
data_La2HoMg
_chemical_formula_sum 'La6 Ho3 Mg3'
_cell_length_a 3.5874
_cell_length_b 3.5874
_cell_length_c 35.2752
_cell_angle_alpha 90.00
_cell_angle_beta 90.00
_cell_angle_gamma 120.00
_symmetry_space_group_name_H-M 'R 3 m'
_symmetry_Int_Tables_number 160
_symmetry_space_group_name_Hall 'R 3 -2"'
loop_
_atom_site_label
_atom_site_type_symbol
_atom_site_fract_x
_atom_site_fract_y
_atom_site_fract_z
_atom_site_occupancy
La1 La 0.0000 0.0000 0.0000 1
La2 La 0.0000 0.0000 0.1652 1
Ho1 Ho 0.0000 0.0000 0.5822 1
Mg1 Mg 0.0000 0.0000 0.7495 1


Question: What is the formula in the first record?
Answer: La3Ho4Mg